(1)
Entry from the Alexandria database: a relaxed ScCr3 crystal (PBE).

It has space group R-3m (No. 166, hexagonal axes), with a = 2.8314 Å, b = 2.8314 Å, c = 24.4508 Å, α = 90.00°, β = 90.00° and γ = 120.00°. The inequivalent atoms are Sc at (0.0000, 0.0000, 0.0000), Cr at (0.0000, 0.0000, 0.2380) and Cr at (0.0000, 0.0000, 0.5000).

Its density of states at the Fermi level is 1.31 states/eV per atom. The calculation puts the uncorrected energy at -8.3058 eV/atom.


(2)
Entry from the Alexandria database: a relaxed ReAu crystal (PBE).

It has space group Pm-3m (No. 221), with a = 3.1887 Å, b = 3.1887 Å, c = 3.1887 Å, α = 90.00°, β = 90.00° and γ = 90.00°. The inequivalent atoms are Re at (0.0000, 0.0000, 0.0000) and Au at (0.5000, 0.5000, 0.5000).

Its density of states at the Fermi level is 1.02 states/eV per atom. The calculation puts the uncorrected energy at -6.9715 eV/atom.


(3)
Entry from the Alexandria database: a relaxed In2AsH crystal (PBE).

It has space group I-42d (No. 122), with a = 4.9735 Å, b = 4.9735 Å, c = 14.1633 Å, α = 90.00°, β = 90.00° and γ = 90.00°. The inequivalent atoms are In at (0.1688, 0.2500, 0.1250), As at (0.0000, 0.0000, 0.5000) and H at (0.0000, 0.0000, 0.0000).

Its density of states at the Fermi level is 0.06 states/eV per atom. The calculation puts the uncorrected energy at -3.1914 eV/atom.


(4)
Entry from the Alexandria database: a relaxed BaCaF2 crystal (PBE).

It has space group I-42d (No. 122), with a = 5.9667 Å, b = 5.9667 Å, c = 11.9696 Å, α = 90.00°, β = 90.00° and γ = 90.00°. The inequivalent atoms are Ba at (0.0000, 0.0000, 0.0000), Ca at (0.0000, 0.0000, 0.5000) and F at (0.1802, 0.2500, 0.6250).

Its density of states at the Fermi level is 1.51 states/eV per atom. The calculation puts the uncorrected energy at -4.5129 eV/atom. Its uncorrected formation energy is -250.49 kJ/mol of atoms.